Below is LiSiAgF6 after structural relaxation, with properties calculated at the PBE level.

a b c (Å): 5.101 5.101 10.442
angles (deg): 90.00 90.00 120.00
Sites, in units of the cell vectors:
1 Li 0.333 0.667 0.250
2 Li 0.667 0.333 0.750
3 Si 0.333 0.667 0.750
4 Si 0.667 0.333 0.250
5 Ag 0.000 0.000 0.000
6 Ag 0.000 0.000 0.500
7 F 0.049 0.398 0.656
8 F 0.049 0.651 0.844
9 F 0.349 0.398 0.844
10 F 0.349 0.951 0.656
11 F 0.398 0.049 0.156
12 F 0.398 0.349 0.344
13 F 0.602 0.651 0.656
14 F 0.602 0.951 0.844
15 F 0.651 0.049 0.344
16 F 0.651 0.602 0.156
17 F 0.951 0.349 0.156
18 F 0.951 0.602 0.344

formation energy without anion corrections: -258.4 kJ per mole of atoms
volume: 235.33 Å³/cell
E_tot: -5.058 eV/atom
M_tot: 0.04 μB/f.u.